Entry 1:
DFT (GGA-PBE) results for a relaxed LiTaP2 crystal.

For the total energy, the calculation gives -6.3526 eV/atom. For the energy of formation from the pure elements, the calculation gives -0.206 eV per atom. For the polymorph energy (0 for the lowest one), the calculation gives 361.2 meV per atom. As for the theoretical density: 6.98 g cm⁻³.

The space group is Fm-3m (No. 225) and the conventional cell measures 6.196, 6.196 and 6.196 Å, with angles of 90.00, 90.00 and 90.00 degrees. The inequivalent atoms are Li at (0.000, 0.000, 0.000), Ta at (0.000, 0.000, 0.500) and P at (0.250, 0.250, 0.250).

=====

Entry 2:
DFT (GGA-PBE) results for a relaxed TaTiSe2N crystal.

For the total energy, the calculation gives -6.7789 eV/atom. For the polymorph energy (0 for the lowest one), the calculation gives 321.4 meV per atom. As for the theoretical density: 7.23 g cm⁻³. The raw formation energy comes out at 0.230 eV/atom.

The space group is P4/mmm (No. 123) and the conventional cell measures 5.032, 5.032 and 3.636 Å, with angles of 90.00, 90.00 and 90.00 degrees. The inequivalent atoms are Ta at (0.000, 0.000, 0.000), Ti at (0.500, 0.500, 0.500), Se at (0.000, 0.500, 0.500) and N at (0.500, 0.500, 0.000).

=====

Repeat the first record exactly.
DFT (GGA-PBE) results for a relaxed LiTaP2 crystal.

For the total energy, the calculation gives -6.3526 eV/atom. For the energy of formation from the pure elements, the calculation gives -0.206 eV per atom. For the polymorph energy (0 for the lowest one), the calculation gives 361.2 meV per atom. As for the theoretical density: 6.98 g cm⁻³.

The space group is Fm-3m (No. 225) and the conventional cell measures 6.196, 6.196 and 6.196 Å, with angles of 90.00, 90.00 and 90.00 degrees. The inequivalent atoms are Li at (0.000, 0.000, 0.000), Ta at (0.000, 0.000, 0.500) and P at (0.250, 0.250, 0.250).